[1]
The following is a DFT calculation (PBE-GGA) of crystalline CaAuCl3 at its relaxed geometry.

The structure in extended XYZ format:
```
5
Lattice="-2.224 1.368 -4.610 -2.932 -4.412 0.105 -3.812 2.595 2.609" Properties=species:S:1:pos:R:3 pbc="T T T"
Cl -1.112 0.684 -2.305
Ca 0.000 0.000 0.000
Au -4.483 -0.224 -0.948
Cl -1.466 -2.206 0.053
Cl -1.906 1.298 1.304
```

Results
* space group: Pm-3m (221)

---

[2]
The following is a DFT calculation (PBE-GGA) of crystalline Ca2AuCl at its relaxed geometry.

The structure in extended XYZ format:
```
4
Lattice="-0.272 -3.204 -2.550 -0.317 -3.809 1.497 -7.765 -1.730 -0.344" Properties=species:S:1:pos:R:3 pbc="T T T"
Au -2.089 -2.186 -0.349
Ca -0.736 -7.013 -1.055
Cl -6.266 -6.557 -1.048
Ca -4.030 -4.372 -0.697
```

Results
* space group: C2/m (12)

---

[3]
The following is a DFT calculation (PBE-GGA) of crystalline CaAu3Cl at its relaxed geometry.

The structure in extended XYZ format:
```
5
Lattice="-1.206 0.706 4.874 -3.185 -3.939 -0.217 3.757 -3.113 1.381" Properties=species:S:1:pos:R:3 pbc="T T T"
Au 1.878 -1.557 0.690
Au -1.593 -1.970 -0.108
Ca -0.317 -3.173 3.019
Cl 0.000 0.000 0.000
Au -0.603 0.353 2.437
```

Results
* space group: Pm-3m (221)

---

[4]
The following is a DFT calculation (PBE-GGA) of crystalline Ca2AuCl at its relaxed geometry.

The structure in extended XYZ format:
```
4
Lattice="3.619 0.016 0.000 -0.025 3.619 0.000 0.000 0.000 7.814" Properties=species:S:1:pos:R:3 pbc="T T T"
Ca 0.000 0.000 4.115
Ca 0.000 0.000 7.607
Au 1.797 1.818 5.861
Cl 1.797 1.818 1.954
```

Results
* space group: Cmmm (65)

---

[5]
The following is a DFT calculation (PBE-GGA) of crystalline Ca2AuCl at its relaxed geometry.

The structure in extended XYZ format:
```
4
Lattice="-1.135 -4.657 2.205 -3.232 -0.230 4.165 -4.831 -2.058 -0.519" Properties=species:S:1:pos:R:3 pbc="T T T"
Au -4.598 -3.473 2.925
Ca -6.898 -5.209 4.388
Cl 0.000 0.000 0.000
Ca -2.299 -1.736 1.463
```

Results
* space group: Fm-3m (225)

---

[6]
The following is a DFT calculation (PBE-GGA) of crystalline CaAu2Cl at its relaxed geometry.

The structure in extended XYZ format:
```
4
Lattice="3.808 0.000 0.000 0.000 3.808 0.000 0.000 0.000 7.113" Properties=species:S:1:pos:R:3 pbc="T T T"
Ca 0.000 0.000 3.686
Au 0.000 0.000 0.943
Au 1.904 1.904 1.306
Cl 1.904 1.904 4.735
```

Results
* space group: P4mm (99)

---

[7]
The following is a DFT calculation (PBE-GGA) of crystalline Ca2AuCl at its relaxed geometry.

The structure in extended XYZ format:
```
4
Lattice="10.105 0.026 0.015 9.287 3.983 0.015 9.287 1.920 3.490" Properties=species:S:1:pos:R:3 pbc="T T T"
Ca 6.692 1.384 0.822
Cl 14.838 3.068 1.821
Ca 0.338 0.070 0.041
Au 21.149 4.372 2.596
```

Results
* space group: R3m (160)

---

[8]
The following is a DFT calculation (PBE-GGA) of crystalline Ca2AuCl at its relaxed geometry.

The structure in extended XYZ format:
```
4
Lattice="-1.821 -1.345 3.412 1.506 -3.254 1.978 4.414 3.147 6.054" Properties=species:S:1:pos:R:3 pbc="T T T"
Ca 0.882 -0.511 2.727
Au 4.166 0.042 9.612
Ca 3.369 2.064 5.069
Cl 2.146 -0.626 5.813
```

Results
* space group: R3m (160)

---

[9]
The following is a DFT calculation (PBE-GGA) of crystalline CaAu2Cl at its relaxed geometry.

The structure in extended XYZ format:
```
4
Lattice="3.954 -0.002 -0.005 -1.966 6.298 -0.001 0.022 1.196 3.688" Properties=species:S:1:pos:R:3 pbc="T T T"
Au 1.988 0.597 1.841
Cl 0.994 3.148 -0.003
Au 0.000 0.000 0.000
Ca -0.972 3.747 1.844
```

Results
* space group: C2/m (12)

---

[10]
The following is a DFT calculation (PBE-GGA) of crystalline Ca2AuCl at its relaxed geometry.

The structure in extended XYZ format:
```
4
Lattice="6.352 -0.003 -0.011 5.221 3.617 -0.011 0.008 0.002 4.642" Properties=species:S:1:pos:R:3 pbc="T T T"
Au 3.055 0.954 0.575
Ca 8.516 2.660 2.886
Ca 11.514 3.596 0.559
Cl 5.859 1.830 2.891
```

Results
* space group: Amm2 (38)

---

[11]
The following is a DFT calculation (PBE-GGA) of crystalline Ca2AuCl at its relaxed geometry.

The structure in extended XYZ format:
```
8
Lattice="7.609 0.000 0.000 0.000 7.609 0.000 3.804 3.804 4.059" Properties=species:S:1:pos:R:3 pbc="T T T"
Ca 5.632 1.902 1.015
Cl 3.804 3.804 0.000
Cl 3.804 7.609 2.030
Au 7.609 3.804 2.030
Ca 5.707 5.781 3.045
Ca 1.977 5.707 1.015
Ca 9.511 9.437 3.045
Au 0.000 0.000 0.000
```

Results
* space group: I-42d (122)

---

[12]
The following is a DFT calculation (PBE-GGA) of crystalline CaAu2Cl at its relaxed geometry.

The structure in extended XYZ format:
```
4
Lattice="-2.370 1.196 2.768 3.965 -1.001 6.082 2.907 2.495 -3.914" Properties=species:S:1:pos:R:3 pbc="T T T"
Ca -0.277 0.694 3.060
Cl 1.977 2.029 1.752
Au 4.510 0.156 4.338
Au 5.960 1.403 2.377
```

Results
* space group: P1 (1)

---

no.,formation energy without anion corrections (meV/atom),energy relative to the lowest polymorph listed for this composition (eV per atom),calculated volume (Å³/cell)
1,-983,0.000,149
2,-1214,0.004,111
3,348,0.000,130
4,-1134,0.085,102
5,-967,0.251,104
6,-894,0.105,103
7,-930,0.288,139
8,-1192,0.026,113
9,-892,0.107,92
10,-1111,0.107,107
11,-1054,0.165,235
12,-999,0.000,102